Record 1
Cu2Ag2Ir PBE relaxed; VASP energy = -0.30482 Ry per atom; DOS at the Fermi energy = 5.80 states/eV per cell; symmetry = No. 127
1.0
-3.9158 -3.9966 3.2988
5.1485 -3.4713 1.9059
0.3310 2.1108 2.9503
Ir Cu Ag
2 4 4
Cartesian
0.0000 0.0000 0.0000 Ir
0.6163 -3.7340 2.6023 Ir
3.0305 -4.5003 2.8797 Cu
-0.1651 -5.6641 4.0709 Cu
-1.7979 -2.9676 2.3249 Cu
1.3977 -1.8038 1.1337 Cu
2.9534 -1.9749 3.3303 Ag
1.7847 -4.5053 5.2719 Ag
-1.3898 -3.3822 4.8246 Ag
-0.2210 -0.8518 2.8831 Ag

Record 2
CuAgIr2 PBE relaxed; DOS at the Fermi energy = 5.37 states/eV per cell; symmetry = No. 44; ΔE to the lowest computed polymorph = 0.2687 eV/atom
1.0
-3.7645 3.6278 -1.0505
-2.0147 0.2507 -4.9309
0.7827 -2.7375 4.5088
Ag Cu Ir
1 1 2
Cartesian
-2.8555 1.9164 -2.9554 Ag
-2.0177 -0.3027 -1.6618 Cu
-5.7774 3.8772 -5.9795 Ir
-3.0147 1.4678 0.1520 Ir

Record 3
Cu2AgIr PBE relaxed; DOS at the Fermi energy = 3.30 states/eV per cell; symmetry = No. 160; ΔE to the lowest computed polymorph = 0.0313 eV/atom
1.0
9.0502 0.0098 0.0058
8.6403 2.6926 0.0058
8.6403 1.3199 2.3469
Ag Cu Ir
1 2 1
Cartesian
19.6532 3.0023 1.7604 Ag
26.1866 4.0004 2.3456 Cu
6.6612 1.0176 0.5967 Cu
13.3260 2.0357 1.1936 Ir

Record 4
CuAgIr2 PBE relaxed; DOS at the Fermi energy = 5.62 states/eV per cell; symmetry = No. 166; ΔE to the lowest computed polymorph = 0.0918 eV/atom
1.0
-4.8204 6.3833 -4.6414
-4.5253 4.5574 -6.6541
-6.5799 4.3038 -4.8691
Ag Cu Ir
1 1 2
Cartesian
-3.9814 3.8111 -4.0412 Ag
-11.9442 11.4334 -12.1235 Cu
-0.0966 0.0925 -0.0981 Ir
-7.8662 7.5298 -7.9842 Ir

Record 5
CuAgIr2 PBE relaxed; DOS at the Fermi energy = 6.06 states/eV per cell; symmetry = No. 123; ΔE to the lowest computed polymorph = 0.2703 eV/atom
1.0
2.7062 0.0000 0.0000
0.0000 2.7062 0.0000
0.0000 0.0000 8.0634
Ag Cu Ir
1 1 2
Cartesian
1.3531 1.3531 2.0159 Ag
1.3531 1.3531 6.0476 Cu
0.0000 0.0000 7.8778 Ir
0.0000 0.0000 4.2174 Ir

Record 6
Cu2AgIr PBE relaxed; DOS at the Fermi energy = 3.60 states/eV per cell; symmetry = No. 12; ΔE to the lowest computed polymorph = 0.0965 eV/atom
1.0
-4.4174 -0.8287 -0.9724
-4.0330 -1.5104 1.6122
-1.9382 4.2760 1.4161
Ag Cu Ir
1 2 1
Cartesian
-2.5972 0.4842 0.5140 Ag
-1.9424 4.1784 1.3910 Cu
-5.1901 1.0660 1.0531 Cu
-7.7915 1.4526 1.5419 Ir

Record 7
MgCuAgIr PBE relaxed; VASP energy = -0.32095 Ry per atom; DOS at the Fermi energy = 1.58 states/eV per cell; symmetry = No. 216
1.0
-3.7901 -2.2459 0.0471
0.0134 -4.3577 -0.6493
-0.9029 -2.7277 3.3400
Mg Ir Cu Ag
1 1 1 1
Cartesian
0.0000 0.0000 0.0000 Mg
-3.5097 -6.9985 2.0533 Ir
-2.3398 -4.6657 1.3689 Cu
-1.1699 -2.3328 0.6844 Ag

Record 8
CuReAgIr2 PBE relaxed; VASP energy = -0.41247 Ry per atom; DOS at the Fermi energy = 4.02 states/eV per cell; symmetry = No. 123
1.0
4.5016 0.0000 0.0000
0.0000 4.4364 0.0000
0.0000 0.0000 4.5016
Re Ir Cu Ag
1 2 1 1
Cartesian
2.2508 2.2182 2.2508 Re
0.0000 0.0000 2.2508 Ir
2.2508 0.0000 0.0000 Ir
0.0000 0.0000 0.0000 Cu
0.0000 2.2182 0.0000 Ag

Record 9
Cu2ReAgIr PBE relaxed; VASP energy = -0.31519 Ry per atom; DOS at the Fermi energy = 6.26 states/eV per cell; symmetry = No. 123
1.0
-0.7695 -3.6735 -2.5323
3.8658 -2.2350 2.0676
-2.6936 -1.6661 3.2354
Re Ir Cu Ag
1 1 2 1
Cartesian
0.0000 0.0000 0.0000 Re
0.2014 -3.7873 1.3854 Ir
-1.3468 -0.8330 1.6177 Cu
-0.3847 -1.8368 -1.2661 Cu
1.9329 -1.1175 1.0338 Ag

Record 10
CuAgSn2Ir PBE relaxed; VASP energy = -0.26388 Ry per atom; DOS at the Fermi energy = 3.87 states/eV per cell; symmetry = No. 123
1.0
5.1167 0.0000 0.0000
0.0000 4.6138 0.0000
0.0000 0.0000 5.1167
Ir Sn Ag Cu
1 2 1 1
Cartesian
2.5584 2.3069 2.5584 Ir
0.0000 0.0000 2.5584 Sn
2.5584 0.0000 0.0000 Sn
0.0000 0.0000 0.0000 Ag
0.0000 2.3069 0.0000 Cu

Record 11
CuAgTe2Ir PBE relaxed; DOS at the Fermi energy = 4.32 states/eV per cell; symmetry = No. 123; raw formation energy = 901 meV/atom
1.0
5.0010 0.0000 0.0000
0.0000 4.7077 0.0000
0.0000 0.0000 5.0010
Ir Te Cu Ag
1 2 1 1
Cartesian
0.0000 2.3539 0.0000 Ir
0.0000 0.0000 2.5005 Te
2.5005 0.0000 0.0000 Te
0.0000 0.0000 0.0000 Cu
2.5005 2.3539 2.5005 Ag

Record 12
ZnCuAgIr PBE relaxed; VASP energy = -0.30981 Ry per atom; DOS at the Fermi energy = 0.86 states/eV per cell; symmetry = No. 216
1.0
-0.1357 -1.2871 4.1377
-1.2996 -4.0186 0.9786
2.8636 -2.9091 1.4602
Zn Ir Cu Ag
1 1 1 1
Cartesian
1.0713 -6.1611 4.9323 Zn
0.0000 0.0000 0.0000 Ir
0.3571 -2.0537 1.6441 Cu
0.7142 -4.1074 3.2882 Ag